MoOsC2O | PBE with a Hubbard U | relaxed

## Properties
**E_tot**: -28.13 eV for the cell shown
**M_tot**: 3.06 μB/f.u.

The structure in CIF format:
```
data_MoOsC2O
_cell_length_a 3.855
_cell_length_b 3.855
_cell_length_c 5.349
_cell_angle_alpha 90.00
_cell_angle_beta 90.00
_cell_angle_gamma 90.00
_symmetry_space_group_name_H-M 'P 4/m m m'
_symmetry_Int_Tables_number 123
_symmetry_space_group_name_Hall '-P 4 2'
loop_
_atom_site_label
_atom_site_type_symbol
_atom_site_fract_x
_atom_site_fract_y
_atom_site_fract_z
Mo1 Mo 0.000 0.000 0.000
Os1 Os 0.000 0.000 0.500
C1 C 0.000 0.500 0.000
O1 O 0.500 0.500 0.500
```